Compound: LaMn4Br
Source: Alexandria
Functional: PBE-GGA
Structure: relaxed

N(E_F)	5.141	states/eV/cell
DFT total energy	-6.784	eV per atom
energy relative to the elements, uncorrected	429	meV per atom

Cell lengths 5.510, 5.510, 5.510 Å; angles 60.00, 60.00, 60.00 degrees
Fractional coordinates of all 6 atoms:
1 Br 0.750 0.750 0.750
2 La 0.000 0.000 0.000
3 Mn 0.372 0.372 0.883
4 Mn 0.883 0.372 0.372
5 Mn 0.372 0.883 0.372
6 Mn 0.372 0.372 0.372

***

Compound: La4MnBr5
Source: Alexandria
Functional: PBE-GGA
Structure: relaxed

N(E_F)	4.524	states/eV/cell
DFT total energy	-5.067	eV per atom
energy relative to the elements, uncorrected	-1343	meV per atom

Cell lengths 4.249, 9.364, 9.591 Å; angles 105.02, 102.80, 90.00 degrees
Fractional coordinates of all 10 atoms:
1 Mn 0.500 0.000 0.000
2 La 0.637 0.072 0.274
3 La 0.363 0.928 0.726
4 La 0.998 0.765 0.996
5 La 0.002 0.235 0.004
6 Br 0.831 0.148 0.662
7 Br 0.500 0.500 0.000
8 Br 0.169 0.852 0.338
9 Br 0.831 0.680 0.662
10 Br 0.169 0.320 0.338

***

Compound: La3MnBr
Source: Alexandria
Functional: PBE-GGA
Structure: relaxed

N(E_F)	10.915	states/eV/cell
DFT total energy	-5.273	eV per atom
energy relative to the elements, uncorrected	-148	meV per atom

Cell lengths 5.339, 5.339, 5.339 Å; angles 90.00, 90.00, 90.00 degrees
Fractional coordinates of all 5 atoms:
1 La 0.000 0.000 0.500
2 La 0.500 0.000 0.000
3 La 0.000 0.500 0.000
4 Br 0.500 0.500 0.500
5 Mn 0.000 0.000 0.000

***

Compound: LaMnBr2
Source: Alexandria
Functional: PBE-GGA
Structure: relaxed

N(E_F)	2.532	states/eV/cell
DFT total energy	-4.944	eV per atom
energy relative to the elements, uncorrected	-583	meV per atom

Cell lengths 4.835, 4.836, 4.236 Å; angles 90.00, 90.00, 90.00 degrees
Fractional coordinates of all 4 atoms:
1 Mn 0.000 0.500 0.500
2 La 0.500 0.000 0.500
3 Br 0.000 0.000 0.000
4 Br 0.500 0.500 0.000

***

Compound: La2MnBr
Source: Alexandria
Functional: PBE-GGA
Structure: relaxed

N(E_F)	2.775	states/eV/cell
DFT total energy	-5.526	eV per atom
energy relative to the elements, uncorrected	-352	meV per atom

Cell lengths 6.052, 6.052, 4.892 Å; angles 89.99, 89.99, 36.27 degrees
Fractional coordinates of all 4 atoms:
1 La 0.001 0.001 0.875
2 La 0.286 0.286 0.375
3 Mn 0.479 0.479 0.375
4 Br 0.734 0.734 0.875

***

Compound: La2MnBr
Source: Alexandria
Functional: PBE-GGA
Structure: relaxed

N(E_F)	5.188	states/eV/cell
DFT total energy	-5.357	eV per atom
energy relative to the elements, uncorrected	-183	meV per atom

Cell lengths 5.563, 5.563, 5.563 Å; angles 131.96, 115.27, 84.52 degrees
Fractional coordinates of all 4 atoms:
1 La 0.513 0.513 0.000
2 La 0.987 0.987 0.000
3 Br 0.250 0.750 0.500
4 Mn 0.750 0.250 0.500

***

Compound: LaMn3Br
Source: Alexandria
Functional: PBE-GGA
Structure: relaxed

N(E_F)	18.198	states/eV/cell
DFT total energy	-5.738	eV per atom
energy relative to the elements, uncorrected	1084	meV per atom

Cell lengths 4.469, 4.469, 4.469 Å; angles 90.00, 90.00, 90.00 degrees
Fractional coordinates of all 5 atoms:
1 Mn 0.000 0.000 0.500
2 Mn 0.000 0.500 0.000
3 Mn 0.500 0.000 0.000
4 Br 0.000 0.000 0.000
5 La 0.500 0.500 0.500

***

Compound: LaMnBr2
Source: Alexandria
Functional: PBE-GGA
Structure: relaxed

N(E_F)	2.158	states/eV/cell
DFT total energy	-4.938	eV per atom
energy relative to the elements, uncorrected	-577	meV per atom

Cell lengths 4.318, 3.588, 6.788 Å; angles 90.31, 90.00, 90.00 degrees
Fractional coordinates of all 4 atoms:
1 Mn 0.500 0.750 0.750
2 La 0.500 0.250 0.250
3 Br 0.000 0.747 0.013
4 Br 0.000 0.753 0.487

***

Question: Which value of DFT total energy does entry 4 give?
Answer: -4.944 eV per atom

***

Question: DFT total energy of number 4 (LaMnBr2)?
Answer: -4.944 eV per atom